Record 1
VASP calculation (PBE-GGA) on a relaxed LuSb3 crystal.

abc: 4.432 4.432 6.254
angles: 110.75 110.75 90.00
Sites, in units of the cell vectors:
1 Lu 0.000 0.000 0.000
2 Sb 0.500 0.500 0.000
3 Sb 0.250 0.750 0.500
4 Sb 0.750 0.250 0.500

Values from the calculation:
DOS at the Fermi energy = 0.55 states/eV/atom
uncorrected energy = -4.54 eV/atom
formation energy (no corrections) = -0.32 eV/atom

=====

Record 2
VASP calculation (PBE-GGA) on a relaxed Na2ZnTcO crystal.

abc: 5.851 3.723 5.851
angles: 90.00 90.00 90.00
Last column: magnetic moment on the atom in μB.
Sites, in units of the cell vectors:
1 O 0.000 0.500 0.000  -0.01
2 Zn 0.500 0.500 0.500  -0.01
3 Na 0.500 0.000 0.000  0.00
4 Na 0.000 0.000 0.500  0.00
5 Tc 0.000 0.000 0.000  0.26

Values from the calculation:
DOS at the Fermi energy = 0.91 states/eV/atom
uncorrected energy = -3.73 eV/atom
formation energy (no corrections) = 0.12 eV/atom

=====

Record 3
VASP calculation (PBE-GGA) on a relaxed LaNiAs3 crystal.

abc: 4.727 4.727 4.727
angles: 90.00 90.00 90.00
Sites, in units of the cell vectors:
1 La 0.500 0.500 0.500
2 As 0.000 0.000 0.500
3 As 0.500 0.000 0.000
4 As 0.000 0.500 0.000
5 Ni 0.000 0.000 0.000

Values from the calculation:
DOS at the Fermi energy = 0.81 states/eV/atom
uncorrected energy = -5.38 eV/atom
energy of formation from the pure elements = -0.4448 eV per atom

=====

Record 4
VASP calculation (PBE-GGA) on a relaxed Ni2MoW2 crystal.

abc: 7.217 7.217 2.706
angles: 90.00 90.00 90.00
Sites, in units of the cell vectors:
1 Ni 0.382 0.882 0.000
2 Ni 0.118 0.382 0.000
3 Ni 0.882 0.618 0.000
4 Ni 0.618 0.118 0.000
5 W 0.323 0.177 0.500
6 W 0.823 0.323 0.500
7 W 0.677 0.823 0.500
8 W 0.177 0.677 0.500
9 Mo 0.000 0.000 0.000
10 Mo 0.500 0.500 0.000

Values from the calculation:
DOS at the Fermi energy = 0.44 states/eV/atom
uncorrected energy = -9.50 eV/atom
energy of formation from the pure elements = 0.1572 eV per atom

=====

Record 5
VASP calculation (PBE-GGA) on a relaxed PuAlCdAu crystal.

abc: 4.966 4.966 4.966
angles: 60.00 60.00 60.00
Last column: magnetic moment on the atom in μB.
Sites, in units of the cell vectors:
1 Cd 0.250 0.250 0.250  0.03
2 Pu 0.500 0.500 0.500  5.26
3 Al 0.000 0.000 0.000  -0.02
4 Au 0.750 0.750 0.750  0.01

Values from the calculation:
DOS at the Fermi energy = 3.04 states/eV/atom
uncorrected energy = -5.76 eV/atom
energy of formation from the pure elements = -0.1904 eV per atom

=====

Record 6
VASP calculation (PBE-GGA) on a relaxed BeHgW2 crystal.

abc: 3.733 3.733 10.112
angles: 79.36 79.36 90.00
Sites, in units of the cell vectors:
1 W 0.375 0.390 0.750
2 W 0.610 0.125 0.250
3 W 0.140 0.625 0.250
4 W 0.875 0.860 0.750
5 Hg 0.000 0.000 0.000
6 Hg 0.750 0.250 0.500
7 Be 0.500 0.500 0.000
8 Be 0.250 0.750 0.500

Values from the calculation:
DOS at the Fermi energy = 0.69 states/eV/atom
uncorrected energy = -6.50 eV/atom
energy of formation from the pure elements = 0.9795 eV per atom

=====

Q: Which value of uncorrected energy does entry 2 give?
A: -3.73 eV/atom

=====

Please write out number 4 again, unchanged.
VASP calculation (PBE-GGA) on a relaxed Ni2MoW2 crystal.

abc: 7.217 7.217 2.706
angles: 90.00 90.00 90.00
Sites, in units of the cell vectors:
1 Ni 0.382 0.882 0.000
2 Ni 0.118 0.382 0.000
3 Ni 0.882 0.618 0.000
4 Ni 0.618 0.118 0.000
5 W 0.323 0.177 0.500
6 W 0.823 0.323 0.500
7 W 0.677 0.823 0.500
8 W 0.177 0.677 0.500
9 Mo 0.000 0.000 0.000
10 Mo 0.500 0.500 0.000

Values from the calculation:
DOS at the Fermi energy = 0.44 states/eV/atom
uncorrected energy = -9.50 eV/atom
energy of formation from the pure elements = 0.1572 eV per atom

=====

Q: uncorrected energy of number 1 (LuSb3)?
A: -4.54 eV/atom

=====

Q: Look up the DOS at the Fermi energy of the second one.
A: 0.91 states/eV/atom